## Tb6SmTm8 (GGA-PBE)

Data for a relaxed structure of Tb6SmTm8.

Summary:
DOS(E_F)   21.4 states/eV/f.u.
E   -4.316 eV per atom

a b c (Å): 9.3665 9.3665 6.4335
angles (deg): 90.00 90.00 120.00
Element x y z (fractional)
Tb1 0.0977 0.6814 0.4118
Tb2 0.3186 0.4163 0.4118
Tb3 0.4163 0.0977 0.5882
Tb4 0.5837 0.9023 0.4118
Tb5 0.6814 0.5837 0.5882
Tb6 0.9023 0.3186 0.5882
Sm1 0.0000 0.0000 0.5000
Tm1 0.0246 0.3380 0.0934
Tm2 0.3135 0.9754 0.0934
Tm3 0.3333 0.6667 0.8417
Tm4 0.3380 0.3135 0.9066
Tm5 0.6620 0.6865 0.0934
Tm6 0.6667 0.3333 0.1583
Tm7 0.6865 0.0246 0.9066
Tm8 0.9754 0.6620 0.9066

## LaBe2Se (GGA-PBE)

Data for a relaxed structure of LaBe2Se.

Summary:
DOS(E_F)   2.3 states/eV/f.u.
E   -3.960 eV per atom
Uncorrected formation energy   0.01 eV per atom

a b c (Å): 5.9913 5.9913 5.9913
angles (deg): 103.95 103.95 121.20
Element x y z (fractional)
La1 0.0000 0.0000 0.0000
La2 0.7500 0.2500 0.5000
Be1 0.1930 0.6250 0.0680
Be2 0.3750 0.4430 0.5681
Be3 0.5569 0.1250 0.9320
Be4 0.8750 0.8069 0.4320
Se1 0.2500 0.7500 0.5000
Se2 0.5000 0.5000 0.0000

## Ir3RhCl (GGA-PBE)

Data for a relaxed structure of Ir3RhCl.

Summary:
DOS(E_F)   8.7 states/eV/f.u.
Energy relative to the lowest polymorph listed for this composition   0.00 eV/f.u.
E   -5.498 eV per atom
Uncorrected formation energy   1.66 eV per atom

a b c (Å): 4.3845 4.3845 4.3845
angles (deg): 90.00 90.00 90.00
Element x y z (fractional)
Ir1 0.0000 0.0000 0.5000
Ir2 0.0000 0.5000 0.0000
Ir3 0.5000 0.0000 0.0000
Rh1 0.5000 0.5000 0.5000
Cl1 0.0000 0.0000 0.0000

## CeInOs (GGA-PBE)

Data for a relaxed structure of CeInOs.

Summary:
DOS(E_F)   4.0 states/eV/f.u.
E   -6.765 eV per atom

a b c (Å): 3.0885 5.3457 8.2376
angles (deg): 96.08 98.39 102.94
Element x y z (fractional)
Ce1 0.1429 0.3327 0.3163
Ce2 0.8571 0.6673 0.6837
In1 0.4619 0.2313 0.9182
In2 0.5381 0.7687 0.0818
Os1 0.1774 0.8567 0.3770
Os2 0.8226 0.1433 0.6230

## CdCu3As (GGA-PBE)

Data for a relaxed structure of CdCu3As.

Summary:
DOS(E_F)   2.6 states/eV/f.u.
Energy relative to the lowest polymorph listed for this composition   0.00 eV/f.u.
E   -3.240 eV per atom

a b c (Å): 4.5893 4.5893 4.5893
angles (deg): 90.00 90.00 90.00
Element x y z (fractional)
Cd1 0.0000 0.0000 0.0000
Cu1 0.0000 0.5000 0.5000
Cu2 0.5000 0.0000 0.5000
Cu3 0.5000 0.5000 0.0000
As1 0.5000 0.5000 0.5000

## NdDy4Pd5 (GGA-PBE)

Data for a relaxed structure of NdDy4Pd5.

Summary:
DOS(E_F)   7.5 states/eV/f.u.
E   -5.767 eV per atom

a b c (Å): 3.4895 3.4895 18.0488
angles (deg): 90.00 90.00 90.00
Element x y z (fractional)
Nd1 0.0000 0.0000 0.0000
Dy1 0.0000 0.0000 0.2044
Dy2 0.0000 0.0000 0.4016
Dy3 0.0000 0.0000 0.5984
Dy4 0.0000 0.0000 0.7956
Pd1 0.5000 0.5000 0.1107
Pd2 0.5000 0.5000 0.3032
Pd3 0.5000 0.5000 0.5000
Pd4 0.5000 0.5000 0.6968
Pd5 0.5000 0.5000 0.8893